YScZn2: relaxed, PBE.

Summary:
Total magnetization   0.0 μB/cell
DFT total energy   -4.20 eV per atom
N(E_F)   3.79 states/eV/cell
Energy relative to the elements   -360 meV per atom
Theoretical density   5.28 g/cm3

Geometry as CIF:
```
data_YScZn2
_chemical_formula_sum 'Y1 Sc1 Zn2'
_cell_length_a 3.450
_cell_length_b 3.450
_cell_length_c 6.988
_cell_angle_alpha 90.00
_cell_angle_beta 90.00
_cell_angle_gamma 90.00
_space_group_name_H-M_alt 'P 4/m m m'
_space_group_IT_number 123
_space_group_name_Hall '-P 4 2'
loop_
_atom_site_label
_atom_site_type_symbol
_atom_site_fract_x
_atom_site_fract_y
_atom_site_fract_z
_atom_site_occupancy
Y1 Y 0.000 0.000 0.000 1
Sc1 Sc 0.000 0.000 0.500 1
Zn1 Zn 0.500 0.500 0.277 1
```


ErLuC: relaxed, PBE.

Summary:
Total magnetization   0.0 μB/cell
DFT total energy   -6.42 eV per atom
N(E_F)   2.06 states/eV/cell
E above lowest polymorph   0 meV/atom
Energy relative to the elements   -319 meV per atom
Theoretical density   9.04 g/cm3

Geometry as CIF:
```
data_ErLuC
_chemical_formula_sum 'Er1 Lu1 C1'
_cell_length_a 3.5168
_cell_length_b 3.5168
_cell_length_c 6.0722
_cell_angle_alpha 90.00
_cell_angle_beta 90.00
_cell_angle_gamma 120.00
_space_group_name_H-M_alt 'P 3 m 1'
_space_group_IT_number 156
_space_group_name_Hall 'P 3 -2"'
loop_
_atom_site_label
_atom_site_type_symbol
_atom_site_fract_x
_atom_site_fract_y
_atom_site_fract_z
_atom_site_occupancy
Er1 Er 0.0000 0.0000 0.0000 1
Lu1 Lu 0.3333 0.6667 0.4363 1
C1 C 0.6667 0.3333 0.2217 1
```


Nd4YBi2: relaxed, PBE.

Summary:
Total magnetization   0.2 μB/cell
DFT total energy   -4.58 eV per atom
N(E_F)   16.31 states/eV/cell
Energy relative to the elements   179 meV per atom
Theoretical density   6.94 g/cm3

Geometry as CIF:
```
data_Nd4YBi2
_chemical_formula_sum 'Nd8 Y2 Bi4'
_cell_length_a 5.468
_cell_length_b 5.468
_cell_length_c 17.353
_cell_angle_alpha 90.00
_cell_angle_beta 90.00
_cell_angle_gamma 90.00
_space_group_name_H-M_alt 'I 4/m m m'
_space_group_IT_number 139
_space_group_name_Hall '-I 4 2'
loop_
_atom_site_label
_atom_site_type_symbol
_atom_site_fract_x
_atom_site_fract_y
_atom_site_fract_z
_atom_site_occupancy
Nd1 Nd 0.000 0.000 0.183 1
Nd2 Nd 0.000 0.500 0.000 1
Y1 Y 0.000 0.000 0.000 1
Bi1 Bi 0.000 0.000 0.366 1
```


AlGaTe2I: relaxed, PBE.

Summary:
Uncorrected formation energy   0.031 eV/atom
Total magnetization   0.0 μB/cell
DFT total energy   -2.89 eV per atom
N(E_F)   4.46 states/eV/cell
E above lowest polymorph   0 meV/atom
Theoretical density   4.83 g/cm3

Geometry as CIF:
```
data_AlGaTe2I
_chemical_formula_sum 'Al1 Ga1 Te2 I1'
_cell_length_a 5.375
_cell_length_b 5.375
_cell_length_c 5.702
_cell_angle_alpha 90.00
_cell_angle_beta 90.00
_cell_angle_gamma 90.00
_space_group_name_H-M_alt 'P 4/m m m'
_space_group_IT_number 123
_space_group_name_Hall '-P 4 2'
loop_
_atom_site_label
_atom_site_type_symbol
_atom_site_fract_x
_atom_site_fract_y
_atom_site_fract_z
_atom_site_occupancy
Al1 Al 0.000 0.000 0.000 1
Ga1 Ga 0.500 0.500 0.500 1
Te1 Te 0.000 0.500 0.000 1
I1 I 0.000 0.000 0.500 1
```


YTl2ReAs: relaxed, PBE.

Summary:
Total magnetization   4.6 μB/cell
DFT total energy   -4.17 eV per atom
N(E_F)   3.47 states/eV/cell
Energy relative to the elements   1484 meV per atom
Theoretical density   6.74 g/cm3

Geometry as CIF:
```
data_YTl2ReAs
_chemical_formula_sum 'Y1 Tl2 Re1 As1'
_cell_length_a 5.943
_cell_length_b 5.943
_cell_length_c 5.293
_cell_angle_alpha 90.00
_cell_angle_beta 90.00
_cell_angle_gamma 90.00
_space_group_name_H-M_alt 'P 4/m m m'
_space_group_IT_number 123
_space_group_name_Hall '-P 4 2'
loop_
_atom_site_label
_atom_site_type_symbol
_atom_site_fract_x
_atom_site_fract_y
_atom_site_fract_z
_atom_site_occupancy
Y1 Y 0.000 0.000 0.000 1
Tl1 Tl 0.000 0.500 0.000 1
Re1 Re 0.500 0.500 0.500 1
As1 As 0.000 0.000 0.500 1
```


Nd6Sm8Cd: relaxed, PBE.

Summary:
Total magnetization   0.0 μB/cell
DFT total energy   -4.41 eV per atom
N(E_F)   18.07 states/eV/cell
Energy relative to the elements   77 meV per atom
Theoretical density   7.05 g/cm3

Geometry as CIF:
```
data_Nd6Sm8Cd
_chemical_formula_sum 'Nd6 Sm8 Cd1'
_cell_length_a 9.5720
_cell_length_b 9.5720
_cell_length_c 6.4700
_cell_angle_alpha 90.00
_cell_angle_beta 90.00
_cell_angle_gamma 120.00
_space_group_name_H-M_alt 'P -3'
_space_group_IT_number 147
_space_group_name_Hall '-P 3'
loop_
_atom_site_label
_atom_site_type_symbol
_atom_site_fract_x
_atom_site_fract_y
_atom_site_fract_z
_atom_site_occupancy
Nd1 Nd 0.0927 0.6406 0.1814 1
Sm1 Sm 0.0413 0.7770 0.6882 1
Sm2 Sm 0.3333 0.6667 0.6642 1
Cd1 Cd 0.0000 0.0000 0.0000 1
```


PmTmMg14: relaxed, PBE.

Summary:
Total magnetization   0.0 μB/cell
DFT total energy   -2.00 eV per atom
N(E_F)   6.59 states/eV/cell
Energy relative to the elements   -30 meV per atom
Theoretical density   2.82 g/cm3

Geometry as CIF:
```
data_PmTmMg14
_chemical_formula_sum 'Pm1 Tm1 Mg14'
_cell_length_a 6.930
_cell_length_b 6.930
_cell_length_c 8.016
_cell_angle_alpha 90.00
_cell_angle_beta 90.00
_cell_angle_gamma 90.00
_space_group_name_H-M_alt 'P 4/m m m'
_space_group_IT_number 123
_space_group_name_Hall '-P 4 2'
loop_
_atom_site_label
_atom_site_type_symbol
_atom_site_fract_x
_atom_site_fract_y
_atom_site_fract_z
_atom_site_occupancy
Pm1 Pm 0.000 0.000 0.000 1
Tm1 Tm 0.500 0.500 0.000 1
Mg1 Mg 0.000 0.000 0.500 1
Mg2 Mg 0.000 0.500 0.000 1
Mg3 Mg 0.000 0.500 0.500 1
Mg4 Mg 0.252 0.252 0.262 1
Mg5 Mg 0.500 0.500 0.500 1
```


Y2Mg2Sc: relaxed, PBE.

Summary:
Total magnetization   0.0 μB/cell
DFT total energy   -4.39 eV per atom
N(E_F)   18.42 states/eV/cell
E above lowest polymorph   61 meV/atom
Energy relative to the elements   102 meV per atom
Theoretical density   3.23 g/cm3

Geometry as CIF:
```
data_Y2Mg2Sc
_chemical_formula_sum 'Y4 Mg4 Sc2'
_cell_length_a 8.777
_cell_length_b 8.777
_cell_length_c 3.622
_cell_angle_alpha 90.00
_cell_angle_beta 90.00
_cell_angle_gamma 90.00
_space_group_name_H-M_alt 'P 4/m b m'
_space_group_IT_number 127
_space_group_name_Hall '-P 4 2ab'
loop_
_atom_site_label
_atom_site_type_symbol
_atom_site_fract_x
_atom_site_fract_y
_atom_site_fract_z
_atom_site_occupancy
Y1 Y 0.174 0.326 0.000 1
Mg1 Mg 0.124 0.624 0.500 1
Sc1 Sc 0.000 0.000 0.500 1
```


ErTm2Hg: relaxed, PBE.

Summary:
Total magnetization   1.8 μB/cell
DFT total energy   -3.61 eV per atom
N(E_F)   14.92 states/eV/cell
E above lowest polymorph   65 meV/atom
Energy relative to the elements   -162 meV per atom
Theoretical density   10.15 g/cm3

Geometry as CIF:
```
data_ErTm2Hg
_chemical_formula_sum 'Er3 Tm6 Hg3'
_cell_length_a 3.5941
_cell_length_b 3.5941
_cell_length_c 30.9546
_cell_angle_alpha 90.00
_cell_angle_beta 90.00
_cell_angle_gamma 120.00
_space_group_name_H-M_alt 'R 3 m'
_space_group_IT_number 160
_space_group_name_Hall 'R 3 -2"'
loop_
_atom_site_label
_atom_site_type_symbol
_atom_site_fract_x
_atom_site_fract_y
_atom_site_fract_z
_atom_site_occupancy
Er1 Er 0.0000 0.0000 0.0000 1
Tm1 Tm 0.0000 0.0000 0.2429 1
Tm2 Tm 0.0000 0.0000 0.4237 1
Hg1 Hg 0.0000 0.0000 0.8336 1
```